[1]
DFT (PBE) results for Tb6DyZn2 after structural relaxation.

As for the crystal system: tetragonal. As for the distance to the lowest polymorph of the same formula: 39.2 kJ/mol of atoms.

The structure belongs to space group I4/mmm (No. 139); the cell edges are 4.808, 4.808 and 25.203 Å and the angles 90.00°, 90.00° and 90.00°. The distinct sites, in fractional coordinates, are Tb at (0.000, 0.500, 0.107), Tb at (0.000, 0.500, 0.250), Dy at (0.000, 0.000, 0.000) and Zn at (0.000, 0.000, 0.323).

=====

[2]
DFT (PBE) results for SmHf3N4 after structural relaxation.

The uncorrected formation energy comes out at -1.71 eV/atom. As for the crystal system: hexagonal.

The structure belongs to space group P6_3/mmc (No. 194); the cell edges are 3.2674, 3.2674 and 21.8360 Å and the angles 90.00°, 90.00° and 120.00°. The distinct sites, in fractional coordinates, are Sm at (0.3333, 0.6667, 0.2500), Hf at (0.0000, 0.0000, 0.0000), Hf at (0.3333, 0.6667, 0.6197), N at (0.0000, 0.0000, 0.1734) and N at (0.3333, 0.6667, 0.0592).

=====

[3]
DFT (PBE) results for YLuThTl after structural relaxation.

Its raw total energy is -5.1747 eV per atom. As for the crystal system: cubic.

The structure belongs to space group F-43m (No. 216); the cell edges are 7.757, 7.757 and 7.757 Å and the angles 90.00°, 90.00° and 90.00°. The distinct sites, in fractional coordinates, are Y at (0.000, 0.000, 0.000), Lu at (0.250, 0.250, 0.250), Th at (0.000, 0.000, 0.500) and Tl at (0.250, 0.250, 0.750).